Record 1
This record from Alexandria via LeMat-Bulk describes an optimized crystal structure of TlMoRu. The functional is GGA-PBEsol.

Unit cell a=4.3424 b=4.3424 c=4.3424 alpha=60.00 beta=60.00 gamma=60.00
With the nearest neighbours (Å) after each atom.
Fractional coordinates of all 3 atoms:
Mo 0.0000 0.0000 0.0000  4 Tl 2.66
Ru 0.5000 0.5000 0.5000  4 Tl 2.66
Tl 0.2500 0.2500 0.2500  4 Mo 2.66, 4 Ru 2.66

Summary:
Space group: No. 216
Energy above the most stable polymorph in this dataset, eV per atom: 1.209
Crystal system: cubic
Formation enthalpy at 0 K, meV per atom: 1545.8

=====

Record 2
This record from Alexandria via LeMat-Bulk describes an optimized crystal structure of LaSe2Cl. The functional is GGA-PBEsol.

Unit cell a=4.1320 b=4.1320 c=5.1429 alpha=90.00 beta=90.00 gamma=90.00
With the nearest neighbours (Å) after each atom.
Fractional coordinates of all 4 atoms:
Cl 0.5000 0.5000 0.5000  4 La 2.92
Se 0.0000 0.5000 0.0000  4 Se 2.92
Se 0.5000 0.0000 0.0000  4 Se 2.92
La 0.0000 0.0000 0.5000  4 Cl 2.92

Summary:
Space group: No. 123
Energy above the most stable polymorph in this dataset, eV per atom: 0.100
Crystal system: tetragonal
Formation energy (no corrections), meV/atom: -1421

=====

Record 3
This record from Alexandria via LeMat-Bulk describes an optimized crystal structure of YTa3Si. The functional is GGA-PBEsol.

Unit cell a=4.7317 b=4.7317 c=4.7317 alpha=90.00 beta=90.00 gamma=90.00
With the nearest neighbours (Å) after each atom.
Fractional coordinates of all 5 atoms:
Y 0.5000 0.5000 0.5000  12 Ta 3.35
Si 0.0000 0.0000 0.0000  6 Ta 2.37
Ta 0.0000 0.5000 0.0000  2 Si 2.37
Ta 0.0000 0.0000 0.5000  2 Si 2.37
Ta 0.5000 0.0000 0.0000  2 Si 2.37

Summary:
Space group: No. 221
Crystal system: cubic
Formation energy (no corrections), meV/atom: 554

=====

Record 4
This record from Alexandria via LeMat-Bulk describes an optimized crystal structure of BaLi2Mg. The functional is GGA-PBEsol.

Unit cell a=5.0991 b=5.0991 c=6.3301 alpha=66.25 beta=66.25 gamma=60.00
With the nearest neighbours (Å) after each atom.
Fractional coordinates of all 4 atoms:
Mg 0.5000 0.5000 0.5000  6 Li 3.01
Ba 0.0000 0.0000 0.0000  8 Li 3.42-3.66
Li 0.7965 0.7965 0.6106  3 Mg 3.01, 3 Li 3.19
Li 0.2035 0.2035 0.3894  3 Mg 3.01, 3 Li 3.19

Summary:
Space group: No. 166
Crystal system: trigonal
Formation enthalpy at 0 K, meV per atom: 26.5

=====

Record 5
This record from Alexandria via LeMat-Bulk describes an optimized crystal structure of InFe2Au. The functional is GGA-PBEsol.

Unit cell a=2.8159 b=3.8924 c=5.4674 alpha=90.00 beta=90.00 gamma=90.00
With the nearest neighbours (Å) after each atom.
Fractional coordinates of all 4 atoms:
Au 0.5000 0.5000 0.5000  2 In 2.73, 8 Fe 2.73, 2 Au 2.82
Fe 0.0000 0.0000 0.7389  4 Fe 2.61-2.85, 4 Au 2.73, 4 In 2.79
Fe 0.0000 0.0000 0.2611  4 Fe 2.61-2.85, 4 Au 2.73, 4 In 2.79
In 0.5000 0.5000 0.0000  2 Au 2.73, 8 Fe 2.79, 2 In 2.82

Summary:
Space group: No. 47
Crystal system: orthorhombic
Formation enthalpy at 0 K, meV per atom: 215.8

=====

Record 6
This record from Alexandria via LeMat-Bulk describes an optimized crystal structure of Mg2InSb. The functional is GGA-PBEsol.

Unit cell a=3.9579 b=3.9579 c=6.0679 alpha=90.00 beta=90.00 gamma=90.00
With the nearest neighbours (Å) after each atom.
Fractional coordinates of all 4 atoms:
Sb 0.0000 0.0000 0.4762  6 Mg 2.98-3.09, 4 In 3.31
Mg 0.0000 0.0000 0.9852  2 Sb 2.98-3.09, 4 In 3.10, 4 Mg 3.29
Mg 0.5000 0.5000 0.2716  2 In 3.01-3.06, 4 Sb 3.06, 4 Mg 3.29
In 0.5000 0.5000 0.7669  6 Mg 3.01-3.10, 4 Sb 3.31

Summary:
Space group: No. 99
Energy above the most stable polymorph in this dataset, eV per atom: 0.079
Crystal system: tetragonal
Formation energy (no corrections), meV/atom: -92

=====

Record 7
This record from Alexandria via LeMat-Bulk describes an optimized crystal structure of ScSi2Rh. The functional is GGA-PBEsol.

Unit cell a=4.3705 b=4.3705 c=4.3705 alpha=60.00 beta=60.00 gamma=60.00
With the nearest neighbours (Å) after each atom.
Fractional coordinates of all 4 atoms:
Rh 0.0000 0.0000 0.0000  8 Si 2.68
Sc 0.5000 0.5000 0.5000  8 Si 2.68
Si 0.7500 0.7500 0.7500  4 Rh 2.68, 4 Sc 2.68
Si 0.2500 0.2500 0.2500  4 Sc 2.68, 4 Rh 2.68

Summary:
Space group: No. 225
Crystal system: cubic
Formation energy (no corrections), meV/atom: -546

=====

Record 8
This record from Alexandria via LeMat-Bulk describes an optimized crystal structure of SrLiCd2. The functional is GGA-PBEsol.

Unit cell a=5.1656 b=5.1623 c=5.1656 alpha=59.98 beta=90.00 gamma=120.02
With the nearest neighbours (Å) after each atom.
Fractional coordinates of all 4 atoms:
Sr 0.7500 0.5000 0.7500  4 Cd 3.16, 4 Li 3.16
Cd 0.0000 0.0000 0.0000  4 Cd 3.16, 4 Sr 3.16
Cd 0.2500 0.5000 0.2500  4 Li 3.16, 4 Cd 3.16
Li 0.5000 0.0000 0.5000  4 Cd 3.16, 4 Sr 3.16

Summary:
Space group: No. 119
Energy above the most stable polymorph in this dataset, eV per atom: 0.034
Crystal system: tetragonal
Formation enthalpy at 0 K, meV per atom: -211.3

=====

Record 9
This record from Alexandria via LeMat-Bulk describes an optimized crystal structure of Cd3PI3. The functional is GGA-PBEsol.

Unit cell a=4.4102 b=7.2555 c=7.6318 alpha=90.24 beta=90.00 gamma=90.00
With the nearest neighbours (Å) after each atom.
Fractional coordinates of all 7 atoms:
I 0.0000 0.0701 0.3249  3 Cd 2.91-2.96
I 0.0000 0.5550 0.6621  3 Cd 2.92-2.96
I 0.5000 0.5512 0.1912  2 Cd 2.79-2.80
P 0.5000 0.0527 0.8167  4 Cd 2.46-2.47
Cd 0.5000 0.3908 0.8574  1 P 2.47
Cd 0.0000 0.9607 0.6983  2 P 2.47
Cd 0.5000 0.9276 0.1161  1 P 2.46

Summary:
Space group: No. 6
Crystal system: monoclinic
Formation energy (no corrections), meV/atom: -371

=====

Record 10
This record from Alexandria via LeMat-Bulk describes an optimized crystal structure of KZrMo. The functional is GGA-PBEsol.

Unit cell a=4.7337 b=4.7337 c=4.7337 alpha=60.00 beta=60.00 gamma=60.00
With the nearest neighbours (Å) after each atom.
Fractional coordinates of all 3 atoms:
K 0.0000 0.0000 0.0000  4 Zr 2.90
Mo 0.5000 0.5000 0.5000  4 Zr 2.90
Zr 0.2500 0.2500 0.2500  4 Mo 2.90, 4 K 2.90

Summary:
Space group: No. 216
Crystal system: cubic
Formation enthalpy at 0 K, meV per atom: 2132.7

=====

Record 11
This record from Alexandria via LeMat-Bulk describes an optimized crystal structure of GeSeI2. The functional is GGA-PBEsol.

Unit cell a=5.2401 b=5.2401 c=5.2401 alpha=60.00 beta=60.00 gamma=60.00
With the nearest neighbours (Å) after each atom.
Fractional coordinates of all 4 atoms:
I 0.2500 0.2500 0.2500  4 Ge 3.21, 4 Se 3.21
I 0.7500 0.7500 0.7500  4 Se 3.21, 4 Ge 3.21
Ge 0.0000 0.0000 0.0000  8 I 3.21
Se 0.5000 0.5000 0.5000  8 I 3.21

Summary:
Space group: No. 225
Crystal system: cubic
Formation energy (no corrections), meV/atom: 387

=====

Record 12
This record from Alexandria via LeMat-Bulk describes an optimized crystal structure of LiCaAg2. The functional is GGA-PBEsol.

Unit cell a=4.3044 b=4.3142 c=5.2192 alpha=114.41 beta=114.35 gamma=90.00
With the nearest neighbours (Å) after each atom.
Fractional coordinates of all 4 atoms:
Ca 0.4999 0.4999 0.9998  8 Ag 3.02-3.05, 4 Li 3.02
Ag 0.0001 0.0001 0.0001  4 Ag 3.02-3.03, 4 Li 3.02, 4 Ca 3.05
Ag 0.7498 0.2498 0.4996  4 Ag 3.02-3.03, 4 Ca 3.02, 4 Li 3.05
Li 0.2502 0.7502 0.5005  8 Ag 3.02-3.05, 4 Ca 3.02

Summary:
Space group: No. 119
Energy above the most stable polymorph in this dataset, eV per atom: 0.028
Crystal system: tetragonal
Formation enthalpy at 0 K, meV per atom: -185.3